(1)
La3PrN3: relaxed, PBE.

Formation energy without anion corrections, eV/atom: -0.98
Space-group type: No. 148

a = 6.4744 Å, b = 6.4744 Å, c = 10.1674 Å
α = 71.43°, β = 71.43°, γ = 60.00°
Fractional coordinates of all 14 atoms:
1 La 0.4070 0.7890 0.7052
2 La 0.7890 0.0989 0.7052
3 La 0.0989 0.4070 0.7052
4 La 0.9011 0.5930 0.2948
5 La 0.2110 0.9011 0.2948
6 La 0.5930 0.2110 0.2948
7 Pr 0.3331 0.3331 0.0007
8 Pr 0.6669 0.6669 0.9993
9 N 0.3174 0.5628 0.1785
10 N 0.9413 0.3174 0.1785
11 N 0.5628 0.9413 0.1785
12 N 0.4372 0.0587 0.8215
13 N 0.0587 0.6826 0.8215
14 N 0.6826 0.4372 0.8215

---

(2)
LaPrN2: relaxed, PBE.

Formation energy without anion corrections, eV/atom: -1.15
Space-group type: No. 160

a = 3.6281 Å, b = 3.6281 Å, c = 6.6645 Å
α = 74.21°, β = 74.21°, γ = 60.00°
Fractional coordinates of all 4 atoms:
1 La 0.5035 0.5035 0.4895
2 Pr 0.6726 0.6726 0.9821
3 N 0.0773 0.0773 0.7680
4 N 0.2465 0.2465 0.2604

---

(3)
LaPr4N5: relaxed, PBE.

Formation energy without anion corrections, eV/atom: -1.30
Space-group type: No. 79

a = 5.3142 Å, b = 6.4000 Å, c = 6.4000 Å
α = 80.07°, β = 65.47°, γ = 65.47°
Fractional coordinates of all 10 atoms:
1 La 0.0154 0.0000 0.0000
2 Pr 0.4166 0.4002 0.7992
3 Pr 0.8168 0.7992 0.5998
4 Pr 0.2158 0.2008 0.4002
5 Pr 0.6160 0.5998 0.2008
6 N 0.8846 0.4016 0.7991
7 N 0.2862 0.7991 0.5984
8 N 0.6837 0.2009 0.4016
9 N 0.0853 0.5984 0.2009
10 N 0.4900 0.0000 0.0000